Ru2WF after structural relaxation. Source: Alexandria via LeMat-Bulk, functional PBE with a Hubbard U.

a = 6.103 Å, b = 6.103 Å, c = 6.103 Å
α = 90.00°, β = 90.00°, γ = 90.00°
Space group Fm-3m (No. 225)
Inequivalent atoms, fractional coordinates:
1 Ru 0.250 0.250 0.250 (multiplicity 8)
2 W 0.000 0.000 0.000 (multiplicity 4)
3 F 0.000 0.000 0.500 (multiplicity 4)

Summary:
The excess energy over the best structure of this formula in the dataset is 0.000 eV/atom. The electronic total energy is -6.506 eV per atom. For the volume, the calculation gives 227 Å³/cell.